## Cs2NiBiF6 (GGA+U)

Data for a geometry-optimized Cs2NiBiF6 structure.

Cell lengths 6.8444, 6.8444, 6.8444 Å; angles 126.02, 126.02, 79.85 degrees
With the nearest neighbours (Å) after each atom.
Fractional positions:
Cs1 0.2500 0.7500 0.5000  12 F 3.13-3.42
Cs2 0.7500 0.2500 0.5000  12 F 3.13-3.42
Ni1 0.0000 0.0000 0.0000  4 F 2.10
Bi1 0.5000 0.5000 0.0000  6 F 2.27-2.29
F1 0.2394 0.2394 0.4789  1 Ni 2.10, 1 Bi 2.29
F2 0.2394 0.7606 0.0000  1 Ni 2.10, 1 Bi 2.29
F3 0.2836 0.2836 0.0000  1 Bi 2.27
F4 0.7164 0.7164 0.0000  1 Bi 2.27
F5 0.7606 0.2394 0.0000  1 Ni 2.10, 1 Bi 2.29
F6 0.7606 0.7606 0.5211  1 Ni 2.10, 1 Bi 2.29

Results
calculated volume = 203 Å³/f.u.
raw total energy = -42.51 eV for the cell shown